First-principles (PBE) data for a relaxed structure of KLiFe2, as listed in Alexandria via LeMat-Bulk.

Summary:
Space group = P4/mmm, No. 123
Calculated total energy = -4.055 eV per atom
Density of states at the Fermi level = 1.111 states/eV/atom
E_form = 930 meV per atom
Offset from the most stable computed form = 386 meV/atom

abc: 2.691 2.691 9.611
angles: 90.00 90.00 90.00
Each line ends with the local moment (μB).
Sites, in units of the cell vectors:
Fe: 0.000 0.000 0.946  2.73
Fe: 0.000 0.000 0.554  2.73
K: 0.500 0.500 0.250  -0.09
Li: 0.500 0.500 0.750  -0.09